No. 1
A geometry-optimized KTcAg2 structure. Source: the Alexandria database, functional PBE-GGA.

The value obtained for the energy relative to the lowest polymorph listed for this composition is 0 meV per atom. As for the calculated volume: 88 Å³ per cell. As for the density: 6.66 g/cm³. The total energy comes out at -3.671 eV per atom. The space-group type is No. 10. The size of the total moment is 1.0 μB/f.u. As for the formation energy: 0.6209 eV/atom.

Cell: 4.2176 2.7530 8.0564 Å, 70.13 90.00 90.00°
With the nearest neighbours (Å) after each atom.
Atoms (fractional coordinates):
Ag (0.0000, 0.0676, 0.9336)  3 Ag 2.75-2.78, 4 Tc 2.88
Ag (0.0000, 0.4324, 0.5664)  3 Ag 2.75-2.78, 4 Tc 2.88
K (0.5000, 0.2500, 0.2500)  2 K 2.75
Tc (0.5000, 0.7500, 0.7500)  2 Tc 2.75, 8 Ag 2.88

***

No. 2
A geometry-optimized BeAl2Se structure. Source: the Alexandria database, functional PBE-GGA.

The value obtained for the energy relative to the lowest polymorph listed for this composition is 318 meV per atom. The formation energy (no corrections) is 364 meV/atom. As for the calculated volume: 65 Å³ per cell. As for the density: 3.62 g/cm³. The total energy comes out at -3.310 eV per atom. The space-group type is No. 47. The size of the total moment is 0.0 μB/f.u.

Cell: 3.3228 4.5162 4.3437 Å, 90.00 90.00 90.00°
With the nearest neighbours (Å) after each atom.
Atoms (fractional coordinates):
Be (0.5000, 0.0000, 0.5000)  4 Al 2.73, 4 Se 2.80
Al (0.0000, 0.0000, 0.0000)  4 Be 2.73, 4 Al 2.80
Al (0.5000, 0.5000, 0.0000)  4 Se 2.73, 4 Al 2.80
Se (0.0000, 0.5000, 0.5000)  4 Al 2.73, 4 Be 2.80

***

No. 3
A geometry-optimized KRb2LiBi structure. Source: the Alexandria database, functional PBE-GGA.

The value obtained for the energy relative to the lowest polymorph listed for this composition is 0 meV per atom. As for the calculated volume: 245 Å³ per cell. As for the density: 2.89 g/cm³. The total energy comes out at -1.938 eV per atom. The space-group type is No. 123. The size of the total moment is 0.7 μB/f.u. As for the formation energy: -0.1721 eV/atom.

Cell: 6.8176 6.8176 5.2700 Å, 90.00 90.00 90.00°
With the nearest neighbours (Å) after each atom.
Atoms (fractional coordinates):
K (0.5000, 0.5000, 0.5000)  8 Rb 4.31, 4 Bi 4.82
Bi (0.0000, 0.0000, 0.5000)  2 Li 2.64
Rb (0.0000, 0.5000, 0.0000)  2 Li 3.41
Rb (0.5000, 0.0000, 0.0000)  2 Li 3.41
Li (0.0000, 0.0000, 0.0000)  2 Bi 2.64

***

No. 4
A geometry-optimized NaAc3Sm2Se6 structure. Source: the Alexandria database, functional PBE-GGA.

The formation energy (no corrections) is -1792 meV/atom. As for the calculated volume: 345 Å³ per cell. As for the density: 7.11 g/cm³. The total energy comes out at -5.457 eV per atom. The space-group type is No. 12. The size of the total moment is 0.0 μB/f.u.

Cell: 7.5295 7.5295 7.4735 Å, 99.67 99.67 120.11°
With the nearest neighbours (Å) after each atom.
Atoms (fractional coordinates):
Na (0.0000, 0.0000, 0.0000)  6 Se 2.97-2.99
Ac (0.1651, 0.8349, 0.5000)  6 Se 3.14-3.15
Ac (0.8349, 0.1651, 0.5000)  6 Se 3.14-3.15
Ac (0.5000, 0.5000, 0.5000)  6 Se 3.14-3.16
Sm (0.3338, 0.6662, 0.0000)  6 Se 2.98-3.00
Sm (0.6662, 0.3338, 0.0000)  6 Se 2.98-3.00
Se (0.9229, 0.5893, 0.7678)  1 Na 2.99, 2 Sm 2.99-3.00, 3 Ac 3.14-3.15
Se (0.7439, 0.7439, 0.2280)  1 Na 2.97, 2 Sm 2.98, 3 Ac 3.14-3.16
Se (0.0771, 0.4107, 0.2322)  1 Na 2.99, 2 Sm 2.99-3.00, 3 Ac 3.14-3.15
Se (0.5893, 0.9229, 0.7678)  1 Na 2.99, 2 Sm 2.99-3.00, 3 Ac 3.14-3.15
Se (0.2561, 0.2561, 0.7720)  1 Na 2.97, 2 Sm 2.98, 3 Ac 3.14-3.16
Se (0.4107, 0.0771, 0.2322)  1 Na 2.99, 2 Sm 2.99-3.00, 3 Ac 3.14-3.15

***

No. 5
A geometry-optimized SmNpSn2 structure. Source: the Alexandria database, functional PBE-GGA.

The value obtained for the energy relative to the lowest polymorph listed for this composition is 0 meV per atom. As for the calculated volume: 106 Å³ per cell. As for the density: 9.77 g/cm³. The total energy comes out at -6.742 eV per atom. The space-group type is No. 123. The size of the total moment is 4.4 μB/f.u. As for the formation energy: -0.3261 eV/atom.

Cell: 3.4180 3.4180 9.0866 Å, 90.00 90.00 90.00°
With the nearest neighbours (Å) after each atom.
Atoms (fractional coordinates):
Np (0.5000, 0.5000, 0.0000)  8 Sn 3.30, 4 Np 3.42
Sn (0.0000, 0.0000, 0.7529)  4 Np 3.30, 4 Sm 3.34, 4 Sn 3.42
Sn (0.0000, 0.0000, 0.2471)  4 Np 3.30, 4 Sm 3.34, 4 Sn 3.42
Sm (0.5000, 0.5000, 0.5000)  8 Sn 3.34, 4 Sm 3.42

***

No. 6
A geometry-optimized TbSCl structure. Source: the Alexandria database, functional PBE-GGA.

The formation energy (no corrections) is -2185 meV/atom. As for the calculated volume: 198 Å³ per cell. As for the density: 3.80 g/cm³. The total energy comes out at -5.720 eV per atom. The space-group type is No. 11. The size of the total moment is 0.0 μB/f.u.

Cell: 4.0293 5.3892 9.2541 Å, 90.00 100.06 90.00°
With the nearest neighbours (Å) after each atom.
Atoms (fractional coordinates):
Tb (0.3023, 0.2500, 0.1298)  2 Cl 2.69, 4 S 2.74-2.77
Tb (0.6977, 0.7500, 0.8702)  2 Cl 2.69, 4 S 2.74-2.77
S (0.7187, 0.2500, 0.9218)  4 Tb 2.74-2.77
S (0.2813, 0.7500, 0.0782)  4 Tb 2.74-2.77
Cl (0.8805, 0.2500, 0.3251)  2 Tb 2.69
Cl (0.1195, 0.7500, 0.6749)  2 Tb 2.69

***

No. 7
A geometry-optimized Sm3Er structure. Source: the Alexandria database, functional PBE-GGA.

The value obtained for the energy relative to the lowest polymorph listed for this composition is 7 meV per atom. As for the calculated volume: 267 Å³ per cell. As for the density: 7.70 g/cm³. The total energy comes out at -4.656 eV per atom. The space-group type is No. 11. The size of the total moment is 0.0 μB/f.u. As for the formation energy: 0.0240 eV/atom.

Cell: 3.6564 8.5564 8.5571 Å, 95.29 90.00 90.00°
With the nearest neighbours (Å) after each atom.
Atoms (fractional coordinates):
Sm (0.7500, 0.4162, 0.8318)  3 Er 3.53-3.65, 9 Sm 3.55-3.66
Sm (0.7500, 0.8309, 0.9139)  10 Sm 3.55-3.67, 2 Er 3.57
Sm (0.7500, 0.9159, 0.3364)  9 Sm 3.54-3.67, 3 Er 3.60-3.63
Sm (0.2500, 0.5838, 0.1682)  3 Er 3.53-3.65, 9 Sm 3.55-3.66
Sm (0.2500, 0.1691, 0.0861)  10 Sm 3.55-3.67, 2 Er 3.57
Sm (0.2500, 0.0841, 0.6636)  9 Sm 3.54-3.67, 3 Er 3.60-3.63
Er (0.2500, 0.6642, 0.5808)  4 Er 3.53-3.66, 8 Sm 3.53-3.65
Er (0.7500, 0.3358, 0.4192)  4 Er 3.53-3.66, 8 Sm 3.53-3.65

***

No. 8
A geometry-optimized LiYScS3 structure. Source: the Alexandria database, functional PBE-GGA.

The formation energy (no corrections) is -1760 meV/atom. As for the calculated volume: 229 Å³ per cell. As for the density: 3.43 g/cm³. The total energy comes out at -6.275 eV per atom. The space-group type is No. 11. The size of the total moment is 0.0 μB/f.u.

Cell: 3.7234 7.7126 8.2240 Å, 103.89 90.00 90.00°
With the nearest neighbours (Å) after each atom.
Atoms (fractional coordinates):
Li (0.2500, 0.0921, 0.5882)  4 S 2.32-2.40, 2 Li 2.57
Li (0.7500, 0.9079, 0.4118)  4 S 2.32-2.40, 2 Li 2.57
Y (0.2500, 0.1944, 0.2278)  7 S 2.75-2.89
Y (0.7500, 0.8056, 0.7722)  7 S 2.75-2.89
Sc (0.2500, 0.6618, 0.1582)  6 S 2.57-2.72
Sc (0.7500, 0.3382, 0.8418)  6 S 2.57-2.72
S (0.7500, 0.9014, 0.1282)  1 Li 2.32
S (0.2500, 0.0986, 0.8718)  1 Li 2.32
S (0.2500, 0.7717, 0.4987)  3 Li 2.33-2.40
S (0.7500, 0.2283, 0.5013)  3 Li 2.33-2.40
S (0.7500, 0.4346, 0.1690)  3 Sc 2.57-2.61, 2 Y 2.75
S (0.2500, 0.5654, 0.8310)  3 Sc 2.57-2.61, 2 Y 2.75

***

No. 9
A geometry-optimized RbCdHgBi2 structure. Source: the Alexandria database, functional PBE-GGA.

As for the calculated volume: 178 Å³ per cell. As for the density: 7.64 g/cm³. The total energy comes out at -2.140 eV per atom. The space-group type is No. 119. The size of the total moment is 0.0 μB/f.u. As for the formation energy: -0.1512 eV/atom.

Cell: 5.2066 5.2066 7.5133 Å, 110.27 110.27 90.00°
With the nearest neighbours (Å) after each atom.
Atoms (fractional coordinates):
Rb (0.0000, 0.0000, 0.0000)  8 Bi 4.02, 4 Cd 4.18, 4 Hg 4.18
Cd (0.2500, 0.7500, 0.5000)  4 Bi 3.09
Hg (0.7500, 0.2500, 0.5000)  4 Bi 3.09
Bi (0.6233, 0.6233, 0.2465)  2 Cd 3.09, 2 Hg 3.09, 1 Bi 3.23
Bi (0.3767, 0.3767, 0.7535)  2 Cd 3.09, 2 Hg 3.09, 1 Bi 3.23

***

No. 10
A geometry-optimized Pm3Zr3NpN8 structure. Source: the Alexandria database, functional PBE-GGA.

The formation energy (no corrections) is -1412 meV/atom. As for the calculated volume: 225 Å³ per cell. As for the density: 7.82 g/cm³. The total energy comes out at -9.375 eV per atom. The space-group type is No. 166. The size of the total moment is 1.3 μB/f.u.

Cell: 6.7184 6.7184 6.9347 Å, 118.97 90.00 120.00°
With the nearest neighbours (Å) after each atom.
Atoms (fractional coordinates):
Pm (0.0000, 0.0000, 0.0000)  6 N 2.52-2.55
Pm (0.0000, 0.5000, 0.0000)  6 N 2.52-2.55
Pm (0.5000, 0.5000, 0.0000)  6 N 2.52-2.55
Zr (0.5000, 0.0000, 0.5000)  6 N 2.30-2.32
Zr (0.5000, 0.5000, 0.5000)  6 N 2.30-2.32
Zr (0.0000, 0.5000, 0.5000)  6 N 2.30-2.32
Np (0.0000, 0.0000, 0.5000)  6 N 2.19-2.20
N (0.2597, 0.5194, 0.2791)  3 Zr 2.32, 3 Pm 2.52
N (0.7403, 0.4806, 0.7209)  3 Zr 2.32, 3 Pm 2.52
N (0.7726, 0.5451, 0.2959)  1 Np 2.19, 2 Zr 2.30
N (0.2274, 0.4549, 0.7041)  1 Np 2.19, 2 Zr 2.30
N (0.7725, 0.0234, 0.2959)  1 Np 2.20, 2 Zr 2.30
N (0.2275, 0.9766, 0.7041)  1 Np 2.20, 2 Zr 2.30
N (0.2509, 0.0234, 0.2959)  1 Np 2.20, 2 Zr 2.30
N (0.7491, 0.9766, 0.7041)  1 Np 2.20, 2 Zr 2.30

***

What is the formula in the sixth record? TbSCl

***

Number 5 is which compound? SmNpSn2

***

Number 9 is which compound? RbCdHgBi2